1.
# InNiW2, relaxed, DFT PBEsol
# * Fermi-level density of states: 0.892 states/eV per atom
# * total moment: 0.14 μB/f.u.
# * calculated formation energy: 0.479 eV/atom
data_InNiW2
_cell_length_a 2.733
_cell_length_b 5.045
_cell_length_c 5.045
_cell_angle_alpha 117.46
_cell_angle_beta 90.00
_cell_angle_gamma 90.00
_symmetry_space_group_name_H-M 'P 1'
_symmetry_Int_Tables_number 1
loop_
_symmetry_equiv_pos_as_xyz
'x,y,z'
loop_
_atom_site_label
_atom_site_fract_x
_atom_site_fract_y
_atom_site_fract_z
In1 0.500 0.000 0.000
Ni1 0.500 0.500 0.500
W1 0.000 0.500 0.000
W2 0.000 0.000 0.500

***

2.
# In2NiW2, relaxed, DFT PBEsol
# * Fermi-level density of states: 0.696 states/eV per atom
# * total moment: 0.00 μB/f.u.
# * calculated formation energy: 0.813 eV/atom
data_In2NiW2
_cell_length_a 3.576
_cell_length_b 3.576
_cell_length_c 7.780
_cell_angle_alpha 103.28
_cell_angle_beta 103.28
_cell_angle_gamma 90.00
_symmetry_space_group_name_H-M 'P 1'
_symmetry_Int_Tables_number 1
loop_
_symmetry_equiv_pos_as_xyz
'x,y,z'
loop_
_atom_site_label
_atom_site_fract_x
_atom_site_fract_y
_atom_site_fract_z
Ni1 0.000 0.000 0.000
W1 0.250 0.750 0.500
W2 0.750 0.250 0.500
In1 0.406 0.406 0.812
In2 0.594 0.594 0.188

***

3.
# InNiW3, relaxed, DFT PBEsol
# * Fermi-level density of states: 1.113 states/eV per atom
# * total moment: 0.00 μB/f.u.
# * calculated formation energy: 3.342 eV/atom
data_InNiW3
_cell_length_a 4.767
_cell_length_b 4.767
_cell_length_c 4.767
_cell_angle_alpha 90.00
_cell_angle_beta 90.00
_cell_angle_gamma 90.00
_symmetry_space_group_name_H-M 'P 1'
_symmetry_Int_Tables_number 1
loop_
_symmetry_equiv_pos_as_xyz
'x,y,z'
loop_
_atom_site_label
_atom_site_fract_x
_atom_site_fract_y
_atom_site_fract_z
Ni1 0.500 0.500 0.500
W1 0.000 0.500 0.000
W2 0.000 0.000 0.500
W3 0.500 0.000 0.000
In1 0.000 0.000 0.000

***

| no. | V (Å³/f.u.) |
| --- | --- |
| 1 | 62 |
| 2 | 94 |
| 3 | 108 |